No. 1
Compound: Pr12Dy6Sc
Source: Alexandria
Functional: GGA-PBE
Structure: relaxed

a b c (Å): 8.7112 8.7112 8.7112
angles (deg): 89.13 89.13 89.13
Last column: nearest neighbours and their distance in Å.
Sites, in units of the cell vectors:
Pr: 0.2161 0.4645 0.5647  6 Pr 3.40-3.80, 3 Dy 3.43-3.55
Pr: 0.0191 0.1871 0.3615  4 Pr 3.50-3.69, 4 Dy 3.57-3.78, 1 Sc 3.57
Sc: 0.0000 0.0000 0.0000  6 Dy 3.46, 6 Pr 3.57
Pr: 0.9809 0.8129 0.6385  4 Pr 3.50-3.69, 4 Dy 3.57-3.78, 1 Sc 3.57
Pr: 0.3615 0.0191 0.1871  4 Pr 3.50-3.69, 4 Dy 3.57-3.78, 1 Sc 3.57
Pr: 0.8129 0.6385 0.9809  4 Pr 3.50-3.69, 4 Dy 3.57-3.78, 1 Sc 3.57
Dy: 0.2893 0.7414 0.9014  7 Pr 3.43-3.78, 1 Sc 3.46, 2 Dy 3.51
Pr: 0.4353 0.7839 0.5355  6 Pr 3.40-3.80, 3 Dy 3.43-3.55
Dy: 0.9014 0.2893 0.7414  7 Pr 3.43-3.78, 1 Sc 3.46, 2 Dy 3.51
Dy: 0.2586 0.0986 0.7107  7 Pr 3.43-3.78, 1 Sc 3.46, 2 Dy 3.51
Dy: 0.0986 0.7107 0.2586  7 Pr 3.43-3.78, 1 Sc 3.46, 2 Dy 3.51
Pr: 0.5355 0.4353 0.7839  6 Pr 3.40-3.80, 3 Dy 3.43-3.55
Dy: 0.7414 0.9014 0.2893  7 Pr 3.43-3.78, 1 Sc 3.46, 2 Dy 3.51
Pr: 0.4645 0.5647 0.2161  6 Pr 3.40-3.80, 3 Dy 3.43-3.55
Pr: 0.5647 0.2161 0.4645  6 Pr 3.40-3.80, 3 Dy 3.43-3.55
Dy: 0.7107 0.2586 0.0986  7 Pr 3.43-3.78, 1 Sc 3.46, 2 Dy 3.51
Pr: 0.6385 0.9809 0.8129  4 Pr 3.50-3.69, 4 Dy 3.57-3.78, 1 Sc 3.57
Pr: 0.1871 0.3615 0.0191  4 Pr 3.50-3.69, 4 Dy 3.57-3.78, 1 Sc 3.57
Pr: 0.7839 0.5355 0.4353  6 Pr 3.40-3.80, 3 Dy 3.43-3.55

Properties
**Uncorrected energy**: -4.674 eV/atom

---

No. 2
Compound: MnNb2N2
Source: Alexandria
Functional: GGA-PBE
Structure: relaxed

a b c (Å): 4.3246 4.3246 4.6938
angles (deg): 62.57 62.57 90.00
Last column: nearest neighbours and their distance in Å.
Sites, in units of the cell vectors:
Nb: 0.7500 0.2500 0.5000  4 N 2.16
Nb: 0.2500 0.7500 0.5000  4 N 2.16
N: 0.2649 0.2649 0.4703  1 Mn 1.89
N: 0.7351 0.7351 0.5297  1 Mn 1.89
Mn: 0.0000 0.0000 0.0000  2 N 1.89

Properties
**Uncorrected energy**: -9.666 eV/atom
**Energy above the lowest structure with this stoichiometry**: 0.00 eV per formula unit